(1)
A plane-wave DFT calculation with GGA-PBE was carried out for a geometry-optimized LaZr3Pd structure. Values from VASP.

Geometry as Quantum ESPRESSO input:
```
&SYSTEM
  ibrav = 0, nat = 5, ntyp = 3
/
ATOMIC_SPECIES
La 138.91 La.upf
Zr 91.22 Zr.upf
Pd 106.42 Pd.upf
CELL_PARAMETERS angstrom
5.086 0.000 0.000
0.000 5.086 0.000
0.000 0.000 5.086
ATOMIC_POSITIONS crystal
La 0.000 0.000 0.000
Zr 0.000 0.000 0.500
Zr 0.000 0.500 0.000
Zr 0.500 0.000 0.000
Pd 0.500 0.500 0.500
```

Energy relative to the elements ... 1306 meV/atom
E_tot ... -5.847 eV per atom
E above lowest polymorph ... 1090 meV per atom

***

(2)
A plane-wave DFT calculation with GGA-PBE was carried out for a geometry-optimized LaZrPd6 structure. Values from VASP.

Geometry as Quantum ESPRESSO input:
```
&SYSTEM
  ibrav = 0, nat = 8, ntyp = 3
/
ATOMIC_SPECIES
La 138.91 La.upf
Zr 91.22 Zr.upf
Pd 106.42 Pd.upf
CELL_PARAMETERS angstrom
4.129 0.000 0.000
0.000 4.129 0.000
0.000 0.000 8.270
ATOMIC_POSITIONS crystal
La 0.000 0.000 0.000
Zr 0.000 0.000 0.500
Pd 0.000 0.500 0.265
Pd 0.000 0.500 0.735
Pd 0.500 0.000 0.265
Pd 0.500 0.000 0.735
Pd 0.500 0.500 0.000
Pd 0.500 0.500 0.500
```

Energy relative to the elements ... -814 meV/atom
E_tot ... -6.393 eV per atom

***

(3)
A plane-wave DFT calculation with GGA-PBE was carried out for a geometry-optimized LaZrPd2 structure. Values from VASP.

Geometry as Quantum ESPRESSO input:
```
&SYSTEM
  ibrav = 0, nat = 4, ntyp = 3
/
ATOMIC_SPECIES
La 138.91 La.upf
Zr 91.22 Zr.upf
Pd 106.42 Pd.upf
CELL_PARAMETERS angstrom
2.331 1.346 4.980
-2.331 1.346 4.980
0.000 -2.691 4.980
ATOMIC_POSITIONS crystal
La 0.000 0.000 0.000
Zr 0.500 0.500 0.500
Pd 0.212 0.212 0.212
Pd 0.788 0.788 0.788
```

Energy relative to the elements ... -621 meV/atom
E_tot ... -6.587 eV per atom

***

(4)
A plane-wave DFT calculation with GGA-PBE was carried out for a geometry-optimized La2ZrPd structure. Values from VASP.

Geometry as Quantum ESPRESSO input:
```
&SYSTEM
  ibrav = 0, nat = 4, ntyp = 3
/
ATOMIC_SPECIES
La 138.91 La.upf
Zr 91.22 Zr.upf
Pd 106.42 Pd.upf
CELL_PARAMETERS angstrom
0.000 3.765 3.765
3.765 0.000 3.765
3.765 3.765 0.000
ATOMIC_POSITIONS crystal
La 0.250 0.250 0.250
La 0.750 0.750 0.750
Zr 0.000 0.000 0.000
Pd 0.500 0.500 0.500
```

Energy relative to the elements ... -11 meV/atom
E_tot ... -5.910 eV per atom
E above lowest polymorph ... 220 meV per atom

***

(5)
A plane-wave DFT calculation with GGA-PBE was carried out for a geometry-optimized La3ZrPd12 structure. Values from VASP.

Geometry as Quantum ESPRESSO input:
```
&SYSTEM
  ibrav = 0, nat = 16, ntyp = 3
/
ATOMIC_SPECIES
La 138.91 La.upf
Zr 91.22 Zr.upf
Pd 106.42 Pd.upf
CELL_PARAMETERS angstrom
4.183 0.000 0.000
0.000 4.183 0.000
0.000 0.000 16.714
ATOMIC_POSITIONS crystal
La 0.000 0.000 0.000
La 0.000 0.000 0.255
La 0.000 0.000 0.745
Zr 0.000 0.000 0.500
Pd 0.000 0.500 0.128
Pd 0.000 0.500 0.386
Pd 0.000 0.500 0.614
Pd 0.000 0.500 0.872
Pd 0.500 0.000 0.128
Pd 0.500 0.000 0.386
Pd 0.500 0.000 0.614
Pd 0.500 0.000 0.872
Pd 0.500 0.500 0.000
Pd 0.500 0.500 0.257
Pd 0.500 0.500 0.500
Pd 0.500 0.500 0.743
```

Energy relative to the elements ... -802 meV/atom
E_tot ... -6.155 eV per atom

***

(6)
A plane-wave DFT calculation with GGA-PBE was carried out for a geometry-optimized LaZr2Pd2 structure. Values from VASP.

Geometry as Quantum ESPRESSO input:
```
&SYSTEM
  ibrav = 0, nat = 10, ntyp = 3
/
ATOMIC_SPECIES
La 138.91 La.upf
Zr 91.22 Zr.upf
Pd 106.42 Pd.upf
CELL_PARAMETERS angstrom
8.057 0.000 0.000
0.000 8.057 0.000
0.000 0.000 3.404
ATOMIC_POSITIONS crystal
La 0.000 0.000 0.000
La 0.500 0.500 0.000
Zr 0.160 0.340 0.500
Zr 0.340 0.840 0.500
Zr 0.660 0.160 0.500
Zr 0.840 0.660 0.500
Pd 0.123 0.623 0.000
Pd 0.377 0.123 0.000
Pd 0.623 0.877 0.000
Pd 0.877 0.377 0.000
```

Energy relative to the elements ... -405 meV/atom
E_tot ... -6.887 eV per atom
E above lowest polymorph ... 61 meV per atom